Li2AcCuO4 | PBE | optimized geometry

Properties
* uncorrected energy: -90.97 eV for the cell shown
* DOS at the Fermi energy: 7.7 states/eV per cell
* formation energy from raw total energies: -1.702 eV/atom

a = 3.501 Å, b = 6.205 Å, c = 9.775 Å
α = 90.00°, β = 90.00°, γ = 106.39°
Fractional positions:
1 O 0.312 0.623 0.122
2 Li 0.396 0.792 0.957
3 Li 0.396 0.792 0.543
4 Cu 0.806 0.611 0.750
5 Ac 0.074 0.149 0.750
6 O 0.688 0.377 0.622
7 O 0.599 0.199 0.250
8 O 0.401 0.801 0.750
9 O 0.000 0.000 0.000
10 Ac 0.926 0.851 0.250
11 Cu 0.194 0.389 0.250
12 Li 0.604 0.208 0.457
13 Li 0.604 0.208 0.043
14 O 0.688 0.377 0.878
15 O 0.000 0.000 0.500
16 O 0.312 0.623 0.378